Computed, not measured: a relaxed YHo3F crystal at the PBE level of DFT.

a = 5.0225 Å, b = 5.0225 Å, c = 5.0225 Å
α = 90.00°, β = 90.00°, γ = 90.00°
Element x y z (fractional)
Ho 0.5000 0.0000 0.0000
Ho 0.0000 0.5000 0.0000
Ho 0.0000 0.0000 0.5000
F 0.0000 0.0000 0.0000
Y 0.5000 0.5000 0.5000

Summary:
- VASP energy: -5.330 eV/atom
- ΔE_f (raw): -0.9166 eV per atom

=====

Computed, not measured: a relaxed Ho2ZnF8 crystal at the PBE level of DFT.

a = 3.3745 Å, b = 5.7850 Å, c = 8.1410 Å
α = 88.22°, β = 101.96°, γ = 90.00°
Element x y z (fractional)
F 0.3717 0.0690 0.7433
F 0.6283 0.9310 0.2567
F 0.3924 0.5348 0.7848
F 0.2434 0.3299 0.4869
F 0.0167 0.7825 0.0334
F 0.6076 0.4652 0.2152
F 0.9833 0.2175 0.9666
F 0.7566 0.6701 0.5131
Ho 0.1548 0.6571 0.3097
Ho 0.8452 0.3429 0.6903
Zn 0.5000 0.0000 0.0000

Summary:
- VASP energy: -5.864 eV/atom
- Energy above the most stable polymorph in this dataset: 69.4 meV/atom
- ΔE_f (raw): -3.5549 eV per atom

=====

Computed, not measured: a relaxed Ho2ZnF crystal at the PBE level of DFT.

a = 3.3300 Å, b = 3.3300 Å, c = 9.7022 Å
α = 80.12°, β = 80.12°, γ = 60.00°
Element x y z (fractional)
Ho 0.1039 0.1039 0.6882
Ho 0.8961 0.8961 0.3118
Zn 0.0000 0.0000 0.0000
F 0.5000 0.5000 0.5000

Summary:
- VASP energy: -3.839 eV/atom
- ΔE_f (raw): -0.7634 eV per atom

=====

Computed, not measured: a relaxed Ho2ZnF8 crystal at the PBE level of DFT.

a = 4.6774 Å, b = 5.9065 Å, c = 5.9065 Å
α = 73.54°, β = 104.05°, γ = 104.05°
Element x y z (fractional)
F 0.2715 0.3438 0.9556
F 0.7884 0.5761 0.5761
F 0.7285 0.6562 0.0444
F 0.7285 0.0444 0.6562
F 0.2373 0.8633 0.8633
F 0.7627 0.1367 0.1367
F 0.2715 0.9556 0.3438
F 0.2116 0.4239 0.4239
Ho 0.6074 0.3243 0.3243
Ho 0.3926 0.6757 0.6757
Zn 0.0000 0.0000 0.0000

Summary:
- VASP energy: -5.933 eV/atom
- Energy above the most stable polymorph in this dataset: 0.0 meV/atom
- ΔE_f (raw): -3.6242 eV per atom

=====

Computed, not measured: a relaxed HoZrF7 crystal at the PBE level of DFT.

a = 5.8303 Å, b = 6.0820 Å, c = 8.3033 Å
α = 76.72°, β = 90.00°, γ = 90.00°
Element x y z (fractional)
F 0.2047 0.8633 0.5241
F 0.9540 0.5788 0.7926
F 0.7047 0.1367 0.4759
F 0.4426 0.0699 0.7598
F 0.2015 0.7686 0.0250
F 0.7015 0.2314 0.9750
F 0.9688 0.4069 0.2087
F 0.4332 0.4842 0.5071
F 0.9668 0.0729 0.7548
F 0.4540 0.4212 0.2074
F 0.4688 0.5931 0.7913
F 0.9426 0.9301 0.2402
F 0.4668 0.9271 0.2452
F 0.9332 0.5158 0.4929
Zr 0.2041 0.8184 0.7740
Zr 0.7041 0.1816 0.2260
Ho 0.7008 0.3495 0.6876
Ho 0.2008 0.6505 0.3124

Summary:
- VASP energy: -6.823 eV/atom
- ΔE_f (raw): -3.9094 eV per atom

=====

Computed, not measured: a relaxed Ho2ZrF crystal at the PBE level of DFT.

a = 3.5058 Å, b = 3.5058 Å, c = 8.5385 Å
α = 78.15°, β = 78.15°, γ = 60.00°
Element x y z (fractional)
F 0.0000 0.0000 0.0000
Ho 0.7313 0.7313 0.8060
Ho 0.2687 0.2687 0.1940
Zr 0.5000 0.5000 0.5000

Summary:
- VASP energy: -5.989 eV/atom
- ΔE_f (raw): -1.0950 eV per atom

=====

Computed, not measured: a relaxed IF3 crystal at the PBE level of DFT.

a = 7.9646 Å, b = 7.9646 Å, c = 7.9646 Å
α = 26.04°, β = 26.04°, γ = 26.04°
Element x y z (fractional)
F 0.0851 0.0851 0.0851
F 0.5000 0.5000 0.5000
F 0.9149 0.9149 0.9149
I 0.0000 0.0000 0.0000

Summary:
- VASP energy: -2.236 eV/atom
- ΔE_f (raw): -0.4449 eV per atom

=====

Computed, not measured: a relaxed IF crystal at the PBE level of DFT.

a = 7.4643 Å, b = 7.4643 Å, c = 7.4643 Å
α = 90.00°, β = 90.00°, γ = 90.00°
Element x y z (fractional)
I 0.5000 0.0000 0.2500
I 0.7500 0.5000 0.0000
I 0.2500 0.5000 0.0000
I 0.0000 0.7500 0.5000
I 0.5000 0.0000 0.7500
I 0.0000 0.2500 0.5000
F 0.0000 0.5000 0.2500
F 0.5000 0.7500 0.0000
F 0.2500 0.0000 0.5000
F 0.0000 0.5000 0.7500
F 0.7500 0.0000 0.5000
F 0.5000 0.2500 0.0000

Summary:
- VASP energy: -1.701 eV/atom
- Energy above the most stable polymorph in this dataset: 824.9 meV/atom
- ΔE_f (raw): 0.0094 eV per atom

=====

Computed, not measured: a relaxed IF5 crystal at the PBE level of DFT.

a = 7.1502 Å, b = 8.5750 Å, c = 18.7255 Å
α = 92.88°, β = 89.98°, γ = 114.66°
Element x y z (fractional)
I 0.0948 0.5703 0.6536
I 0.9052 0.4297 0.3464
I 0.7997 0.2120 0.0535
I 0.2003 0.7880 0.9465
I 0.5249 0.4298 0.8464
I 0.5882 0.7877 0.4466
I 0.7495 0.0001 0.7500
I 0.2505 0.9999 0.2500
I 0.4118 0.2123 0.5534
I 0.4751 0.5702 0.1536
F 0.8518 0.1309 0.8384
F 0.5569 0.6076 0.3751
F 0.2846 0.7574 0.7146
F 0.8836 0.5456 0.7216
F 0.2967 0.3201 0.4901
F 0.8852 0.4269 0.5844
F 0.8547 0.8787 0.4126
F 0.6829 0.7914 0.7998
F 0.9769 0.2610 0.3779
F 0.1482 0.8691 0.1616
F 0.9479 0.3923 0.1250
F 0.5451 0.9167 0.3717
F 0.3383 0.4540 0.7783
F 0.2871 0.6452 0.5767
F 0.9760 0.1219 0.0874
F 0.9777 0.6797 0.0099
F 0.7200 0.8692 0.6615
F 0.0231 0.7390 0.6221
F 0.4719 0.7573 0.2145
F 0.8925 0.2087 0.7001
F 0.3007 0.0052 0.4924
F 0.0521 0.6077 0.8750
F 0.6617 0.5460 0.2217
F 0.2955 0.9951 0.0075
F 0.5417 0.4270 0.0844
F 0.3575 0.6447 0.0767
F 0.6993 0.9948 0.5076
F 0.7154 0.2426 0.2854
F 0.1453 0.1213 0.5874
F 0.0240 0.8781 0.9126
F 0.7156 0.7392 0.1221
F 0.7033 0.6799 0.5099
F 0.1164 0.4544 0.2784
F 0.6425 0.3553 0.9233
F 0.0090 0.9996 0.7498
F 0.7045 0.0049 0.9925
F 0.1148 0.5731 0.4156
F 0.5281 0.2427 0.7855
F 0.3171 0.2086 0.2002
F 0.1075 0.7913 0.2999
F 0.2844 0.2608 0.8779
F 0.7129 0.3548 0.4233
F 0.4431 0.3924 0.6249
F 0.9910 0.0004 0.2502
F 0.4549 0.0833 0.6283
F 0.0223 0.3203 0.9901
F 0.6280 0.0825 0.1284
F 0.4583 0.5730 0.9156
F 0.2800 0.1308 0.3385
F 0.3720 0.9175 0.8716

Summary:
- VASP energy: -3.428 eV/atom
- ΔE_f (raw): -1.6103 eV per atom

=====

Computed, not measured: a relaxed IF crystal at the PBE level of DFT.

a = 8.8657 Å, b = 5.3862 Å, c = 7.9505 Å
α = 90.00°, β = 90.00°, γ = 90.00°
Element x y z (fractional)
F 0.7955 0.3065 0.7768
F 0.2045 0.3065 0.7768
F 0.0000 0.0796 0.2228
F 0.5000 0.9204 0.7228
F 0.7045 0.6935 0.2768
F 0.2955 0.6935 0.2768
I 0.5000 0.1954 0.2292
I 0.3141 0.6255 0.7482
I 0.6859 0.6255 0.7482
I 0.1859 0.3745 0.2482
I 0.0000 0.8046 0.7292
I 0.8141 0.3745 0.2482

Summary:
- VASP energy: -2.478 eV/atom
- Energy above the most stable polymorph in this dataset: 48.7 meV/atom
- ΔE_f (raw): -0.7668 eV per atom

=====

Computed, not measured: a relaxed IF crystal at the PBE level of DFT.

a = 5.7617 Å, b = 5.7617 Å, c = 5.7617 Å
α = 90.00°, β = 90.00°, γ = 90.00°
Element x y z (fractional)
I 0.0000 0.0000 0.5000
I 0.5000 0.5000 0.5000
I 0.0000 0.5000 0.0000
I 0.5000 0.0000 0.0000
F 0.5000 0.5000 0.0000
F 0.0000 0.0000 0.0000
F 0.5000 0.0000 0.5000
F 0.0000 0.5000 0.5000

Summary:
- VASP energy: -1.726 eV/atom
- Energy above the most stable polymorph in this dataset: 800.2 meV/atom
- ΔE_f (raw): -0.0152 eV per atom

=====

Computed, not measured: a relaxed IF crystal at the PBE level of DFT.

a = 6.2436 Å, b = 6.2436 Å, c = 6.2436 Å
α = 90.00°, β = 90.00°, γ = 90.00°
Element x y z (fractional)
F 0.7500 0.2500 0.7500
F 0.2500 0.7500 0.7500
F 0.2500 0.2500 0.2500
F 0.7500 0.7500 0.2500
I 0.0000 0.0000 0.0000
I 0.0000 0.5000 0.5000
I 0.5000 0.0000 0.5000
I 0.5000 0.5000 0.0000

Summary:
- VASP energy: -1.715 eV/atom
- Energy above the most stable polymorph in this dataset: 810.8 meV/atom
- ΔE_f (raw): -0.0047 eV per atom

=====

Computed, not measured: a relaxed IF crystal at the PBE level of DFT.

a = 4.2464 Å, b = 4.2464 Å, c = 8.7932 Å
α = 90.00°, β = 90.00°, γ = 120.00°
Element x y z (fractional)
I 0.6667 0.3333 0.2500
I 0.3333 0.6667 0.7500
F 0.3333 0.6667 0.2500
F 0.6667 0.3333 0.7500

Summary:
- VASP energy: -1.943 eV/atom
- Energy above the most stable polymorph in this dataset: 583.0 meV/atom
- ΔE_f (raw): -0.2325 eV per atom

=====

Computed, not measured: a relaxed IF crystal at the PBE level of DFT.

a = 3.1606 Å, b = 6.8848 Å, c = 16.0378 Å
α = 90.00°, β = 90.00°, γ = 90.00°
Element x y z (fractional)
I 0.5000 0.5000 0.6381
I 0.0000 0.0000 0.5000
I 0.5000 0.5000 0.3619
I 0.0000 0.0000 0.1381
I 0.0000 0.0000 0.8619
I 0.5000 0.5000 0.0000
F 0.0000 0.0000 0.2606
F 0.0000 0.0000 0.0000
F 0.5000 0.5000 0.5000
F 0.0000 0.0000 0.7394
F 0.5000 0.5000 0.7606
F 0.5000 0.5000 0.2394

Summary:
- VASP energy: -2.483 eV/atom
- Energy above the most stable polymorph in this dataset: 43.1 meV/atom
- ΔE_f (raw): -0.7724 eV per atom

=====

Computed, not measured: a relaxed I4F crystal at the PBE level of DFT.

a = 5.4105 Å, b = 5.4105 Å, c = 5.4105 Å
α = 90.00°, β = 90.00°, γ = 90.00°
Element x y z (fractional)
F 0.5000 0.5000 0.5000
I 0.0000 0.5000 0.5000
I 0.5000 0.0000 0.5000
I 0.5000 0.5000 0.0000
I 0.0000 0.0000 0.0000

Summary:
- VASP energy: -1.285 eV/atom
- ΔE_f (raw): 0.3294 eV per atom

=====

Computed, not measured: a relaxed IF3 crystal at the PBE level of DFT.

a = 4.7160 Å, b = 6.7393 Å, c = 9.2190 Å
α = 90.00°, β = 90.00°, γ = 90.00°
Element x y z (fractional)
F 0.4020 0.5448 0.1700
F 0.0980 0.5448 0.6700
F 0.1367 0.2500 0.0677
F 0.6367 0.7500 0.4323
F 0.0980 0.9552 0.6700
F 0.9020 0.0448 0.3300
F 0.4020 0.9552 0.1700
F 0.3633 0.2500 0.5677
F 0.5980 0.0448 0.8300
F 0.5980 0.4552 0.8300
F 0.9020 0.4552 0.3300
F 0.8633 0.7500 0.9323
I 0.4648 0.2500 0.1891
I 0.5352 0.7500 0.8109
I 0.9648 0.7500 0.3109
I 0.0352 0.2500 0.6891

Summary:
- VASP energy: -3.142 eV/atom
- ΔE_f (raw): -1.3514 eV per atom

=====

Computed, not measured: a relaxed I3F crystal at the PBE level of DFT.

a = 5.4242 Å, b = 5.4242 Å, c = 5.4242 Å
α = 60.00°, β = 60.00°, γ = 60.00°
Element x y z (fractional)
F 0.0000 0.0000 0.0000
I 0.2500 0.2500 0.2500
I 0.7500 0.7500 0.7500
I 0.5000 0.5000 0.5000

Summary:
- VASP energy: -1.414 eV/atom
- Energy above the most stable polymorph in this dataset: 435.0 meV/atom
- ΔE_f (raw): 0.2164 eV per atom

=====

Computed, not measured: a relaxed IF3 crystal at the PBE level of DFT.

a = 4.1495 Å, b = 4.1495 Å, c = 4.1495 Å
α = 60.00°, β = 60.00°, γ = 60.00°
Element x y z (fractional)
F 0.2500 0.2500 0.2500
F 0.0000 0.0000 0.0000
F 0.7500 0.7500 0.7500
I 0.5000 0.5000 0.5000

Summary:
- VASP energy: -2.252 eV/atom
- ΔE_f (raw): -0.4607 eV per atom

=====

Computed, not measured: a relaxed IF5 crystal at the PBE level of DFT.

a = 6.2449 Å, b = 6.2449 Å, c = 7.0487 Å
α = 90.00°, β = 90.00°, γ = 120.00°
Element x y z (fractional)
F 0.3067 0.1533 0.7500
F 0.8467 0.6933 0.7500
F 0.3333 0.6667 0.5304
F 0.1533 0.8467 0.2500
F 0.3333 0.6667 0.9696
F 0.1533 0.3067 0.2500
F 0.6933 0.8467 0.2500
F 0.6667 0.3333 0.0304
F 0.6667 0.3333 0.4696
F 0.8467 0.1533 0.7500
I 0.3333 0.6667 0.2500
I 0.6667 0.3333 0.7500

Summary:
- VASP energy: -3.238 eV/atom
- ΔE_f (raw): -1.4197 eV per atom

=====

Computed, not measured: a relaxed IF3 crystal at the PBE level of DFT.

a = 3.9160 Å, b = 3.9160 Å, c = 8.1118 Å
α = 76.03°, β = 76.03°, γ = 90.00°
Element x y z (fractional)
F 0.0445 0.6250 0.2500
F 0.2500 0.7500 0.5000
F 0.3750 0.2945 0.7500
F 0.8750 0.9555 0.7500
F 0.7055 0.1250 0.2500
F 0.5000 0.5000 0.0000
I 0.0000 0.0000 0.0000
I 0.7500 0.2500 0.5000

Summary:
- VASP energy: -2.478 eV/atom
- ΔE_f (raw): -0.6875 eV per atom

=====

Computed, not measured: a relaxed I3F crystal at the PBE level of DFT.

a = 5.7944 Å, b = 5.7944 Å, c = 9.7257 Å
α = 72.67°, β = 72.67°, γ = 90.00°
Element x y z (fractional)
F 0.2500 0.7500 0.5000
F 0.5000 0.5000 0.0000
I 0.8750 0.6878 0.7500
I 0.7500 0.2500 0.5000
I 0.3750 0.5622 0.7500
I 0.3122 0.6250 0.2500
I 0.4378 0.1250 0.2500
I 0.0000 0.0000 0.0000

Summary:
- VASP energy: -1.532 eV/atom
- Energy above the most stable polymorph in this dataset: 317.1 meV/atom
- ΔE_f (raw): 0.0985 eV per atom